Entry 1:
Here is crystalline ScRe3As at its relaxed geometry from the Alexandria database. Energies are from GGA-PBE.

Output
As for the mass density: 11.3 g/cm3. For the density of states at the Fermi level, the calculation gives 9.96 states/eV per cell. For the total DFT energy (no corrections), the calculation gives -7.12 eV per atom. Its formation enthalpy at 0 K is 2.55 eV per atom.

Lattice parameters (Å, degrees): 4.642 4.642 4.642 90.00 90.00 90.00
Element x y z (fractional)
Sc  0.000  0.000  0.000
Re  0.000  0.500  0.000
Re  0.000  0.000  0.500
Re  0.500  0.000  0.000
As  0.500  0.500  0.500


Entry 2:
Here is crystalline ScRe3As at its relaxed geometry from the Alexandria database. Energies are from GGA-PBE.

Output
As for the mass density: 11.8 g/cm3. For the density of states at the Fermi level, the calculation gives 5.81 states/eV per cell. For the total DFT energy (no corrections), the calculation gives -8.60 eV per atom. Its formation enthalpy at 0 K is 1.06 eV per atom.

Lattice parameters (Å, degrees): 4.566 4.566 4.566 90.00 90.00 90.00
Element x y z (fractional)
Sc  0.500  0.500  0.500
Re  0.000  0.500  0.000
Re  0.000  0.000  0.500
Re  0.500  0.000  0.000
As  0.000  0.000  0.000